Entry 1:
Below is BeTcIr2 after structural relaxation, with properties calculated at the GGA-PBE level.

Cell: 4.566 4.566 2.717 Å, 90.00 90.00 107.29°
Atoms (fractional coordinates):
Be1 0.000 0.500 0.500
Ir1 0.000 0.000 0.000
Ir2 0.500 0.500 0.000
Tc1 0.500 0.000 0.500

## Properties
Uncorrected energy in eV for the cell shown: -32.11
Formation enthalpy at 0 K in eV per atom: -0.073

***

Entry 2:
Below is DyBe3Cu10 after structural relaxation, with properties calculated at the GGA-PBE level.

Cell: 7.958 7.958 7.958 Å, 60.00 60.00 60.00°
Atoms (fractional coordinates):
Dy1 0.250 0.250 0.250
Dy2 0.750 0.750 0.750
Be1 0.737 0.737 0.263
Be2 0.737 0.263 0.737
Be3 0.263 0.737 0.737
Be4 0.263 0.263 0.737
Be5 0.737 0.263 0.263
Be6 0.263 0.737 0.263
Cu1 0.000 0.000 0.345
Cu2 0.000 0.345 0.000
Cu3 0.345 0.000 0.000
Cu4 0.655 0.345 0.000
Cu5 0.389 0.389 0.389
Cu6 0.167 0.611 0.611
Cu7 0.389 0.833 0.389
Cu8 0.655 0.000 0.345
Cu9 0.389 0.389 0.833
Cu10 0.833 0.389 0.389
Cu11 0.611 0.611 0.167
Cu12 0.000 0.000 0.655
Cu13 0.345 0.655 0.000
Cu14 0.000 0.655 0.345
Cu15 0.000 0.345 0.655
Cu16 0.655 0.000 0.000
Cu17 0.611 0.611 0.611
Cu18 0.000 0.655 0.000
Cu19 0.611 0.167 0.611
Cu20 0.345 0.000 0.655

## Properties
Uncorrected energy in eV for the cell shown: -113.14
Formation enthalpy at 0 K in eV per atom: 0.012

***

Entry 3:
Below is TeOsRu2 after structural relaxation, with properties calculated at the GGA-PBE level.

Cell: 5.392 5.392 5.392 Å, 147.19 130.71 60.48°
Atoms (fractional coordinates):
Os1 0.272 0.772 0.500
Ru1 0.005 0.005 0.000
Ru2 0.724 0.224 0.500
Te1 0.499 0.499 0.000

## Properties
Formation energy from raw total energies in meV per atom: 606
Uncorrected energy in eV for the cell shown: -30.50

***

Entry 4:
Below is POs after structural relaxation, with properties calculated at the GGA-PBE level.

Cell: 3.611 2.869 5.940 Å, 90.00 90.00 90.00°
Atoms (fractional coordinates):
P1 0.000 0.000 0.379
P2 0.500 0.500 0.879
Os1 0.000 0.000 0.996
Os2 0.500 0.500 0.496

## Properties
Uncorrected energy in eV for the cell shown: -33.13
Formation enthalpy at 0 K in eV per atom: 0.039

***

Entry 5:
Below is ThMnC after structural relaxation, with properties calculated at the GGA-PBE level.

Cell: 3.324 3.324 5.914 Å, 97.92 97.92 120.65°
Each line ends with the local moment (μB).
Atoms (fractional coordinates):
C1 0.028 0.028 0.057  -0.16
Th1 0.355 0.355 0.710  -0.04
Mn1 0.617 0.617 0.234  2.78

## Properties
Uncorrected energy in eV for the cell shown: -23.97
Formation enthalpy at 0 K in eV per atom: 0.615

***

Entry 6:
Below is BaCoNi2P8 after structural relaxation, with properties calculated at the GGA-PBE level.

Cell: 5.515 5.515 8.645 Å, 71.40 71.40 60.00°
Atoms (fractional coordinates):
Ba1 0.500 0.500 0.500
Co1 0.000 0.000 0.000
Ni1 0.241 0.241 0.277
Ni2 0.759 0.759 0.723
P1 0.152 0.152 0.543
P2 0.591 0.342 0.109
P3 0.848 0.848 0.457
P4 0.957 0.591 0.109
P5 0.043 0.409 0.891
P6 0.342 0.957 0.109
P7 0.658 0.043 0.891
P8 0.409 0.658 0.891

## Properties
Uncorrected energy in eV for the cell shown: -64.62
Formation enthalpy at 0 K in eV per atom: -0.062

***

Entry 7:
Below is CuIr2Pt after structural relaxation, with properties calculated at the GGA-PBE level.

Cell: 2.713 2.713 9.190 Å, 90.00 90.00 120.11°
Atoms (fractional coordinates):
Cu1 0.500 0.500 0.750
Ir1 0.000 0.000 0.988
Ir2 0.000 0.000 0.512
Pt1 0.500 0.500 0.250

## Properties
Uncorrected energy in eV for the cell shown: -26.94
Formation enthalpy at 0 K in eV per atom: 0.229

***

Entry 8:
Below is Ti3VCo2 after structural relaxation, with properties calculated at the GGA-PBE level.

Cell: 3.002 3.002 9.142 Å, 90.00 90.00 90.00°
Atoms (fractional coordinates):
Ti1 0.000 0.000 0.000
Ti2 0.000 0.000 0.677
Ti3 0.000 0.000 0.323
V1 0.500 0.500 0.500
Co1 0.500 0.500 0.846
Co2 0.500 0.500 0.154

## Properties
Uncorrected energy in eV for the cell shown: -48.61
Formation enthalpy at 0 K in eV per atom: -0.266

***

Entry 9:
Below is LaRhS3 after structural relaxation, with properties calculated at the GGA-PBE level.

Cell: 4.673 4.673 4.673 Å, 90.00 90.00 90.00°
Atoms (fractional coordinates):
S1 0.000 0.500 0.000
S2 0.000 0.000 0.500
S3 0.500 0.000 0.000
Rh1 0.000 0.000 0.000
La1 0.500 0.500 0.500

## Properties
Formation energy from raw total energies in meV per atom: -944
Uncorrected energy in eV for the cell shown: -29.38

***

Entry 10:
Below is Ho6Te3P2Se after structural relaxation, with properties calculated at the GGA-PBE level.

Cell: 4.116 8.471 9.421 Å, 105.00 102.62 90.00°
Atoms (fractional coordinates):
Ho1 0.334 0.882 0.668
Ho2 0.677 0.561 0.354
Ho3 0.666 0.118 0.332
Ho4 0.015 0.242 0.029
Ho5 0.985 0.758 0.971
Ho6 0.323 0.439 0.646
Te1 0.500 0.500 0.000
Te2 0.837 0.166 0.675
Te3 0.163 0.834 0.325
P1 0.832 0.665 0.664
P2 0.168 0.335 0.336
Se1 0.500 0.000 0.000

## Properties
Formation energy from raw total energies in meV per atom: -1545
Uncorrected energy in eV for the cell shown: -69.73

***

Entry 11:
Below is PtSe2BrN after structural relaxation, with properties calculated at the GGA-PBE level.

Cell: 5.361 5.361 3.665 Å, 90.00 90.00 90.00°
Atoms (fractional coordinates):
Se1 0.000 0.500 0.000
Se2 0.500 0.000 0.000
Br1 0.500 0.500 0.500
Pt1 0.000 0.000 0.000
N1 0.000 0.000 0.500

## Properties
Formation energy from raw total energies in meV per atom: 738
Uncorrected energy in eV for the cell shown: -19.32

***

Entry 12:
Below is ScMnSe2 after structural relaxation, with properties calculated at the GGA-PBE level.

Cell: 6.923 6.923 6.923 Å, 31.56 31.56 31.56°
Each line ends with the local moment (μB).
Atoms (fractional coordinates):
Mn1 0.582 0.582 0.582  4.07
Sc1 0.750 0.750 0.750  -0.22
Se1 0.997 0.997 0.997  0.06
Se2 0.171 0.171 0.171  0.06

## Properties
Formation energy from raw total energies in meV per atom: -992
Uncorrected energy in eV for the cell shown: -26.44

***

Entry 13:
Below is TcNi4W after structural relaxation, with properties calculated at the GGA-PBE level.

Cell: 4.679 4.679 4.679 Å, 60.00 60.00 60.00°
Each line ends with the local moment (μB).
Atoms (fractional coordinates):
Tc1 0.750 0.750 0.750  0.19
Ni1 0.375 0.874 0.375  0.22
Ni2 0.874 0.375 0.375  0.22
Ni3 0.375 0.375 0.874  0.22
Ni4 0.375 0.375 0.375  0.22
W1 0.000 0.000 0.000  -0.03

## Properties
Uncorrected energy in eV for the cell shown: -46.51
Formation enthalpy at 0 K in eV per atom: -0.011

***

Entry 14:
Below is Tb5Pm2Th4 after structural relaxation, with properties calculated at the GGA-PBE level.

Cell: 6.713 9.048 10.356 Å, 39.04 71.09 68.22°
Atoms (fractional coordinates):
Tb1 0.176 0.268 0.904
Tb2 0.824 0.732 0.096
Tb3 0.000 0.500 0.500
Tb4 0.652 0.268 0.904
Tb5 0.348 0.732 0.096
Pm1 0.198 0.932 0.673
Pm2 0.802 0.068 0.327
Th1 0.408 0.776 0.408
Th2 0.592 0.224 0.592
Th3 0.752 0.656 0.841
Th4 0.248 0.344 0.159

## Properties
Uncorrected energy in eV for the cell shown: -60.21
Formation enthalpy at 0 K in eV per atom: 0.193

***

Entry 15:
Below is Pm4Sm2Ho3 after structural relaxation, with properties calculated at the GGA-PBE level.

Cell: 3.548 8.689 10.077 Å, 98.83 100.14 90.00°
Atoms (fractional coordinates):
Pm1 0.548 0.686 0.097
Pm2 0.280 0.350 0.560
Pm3 0.452 0.314 0.903
Pm4 0.720 0.650 0.440
Sm1 0.667 0.044 0.334
Sm2 0.333 0.956 0.666
Ho1 0.106 0.359 0.212
Ho2 0.894 0.641 0.788
Ho3 0.000 0.000 0.000

## Properties
Uncorrected energy in eV for the cell shown: -41.44
Formation enthalpy at 0 K in eV per atom: 0.082

***

Entry 16:
Below is EuMgRh4 after structural relaxation, with properties calculated at the GGA-PBE level.

Cell: 5.302 5.302 5.302 Å, 60.00 60.00 60.00°
Each line ends with the local moment (μB).
Atoms (fractional coordinates):
Eu1 0.250 0.250 0.250  -6.64
Mg1 0.000 0.000 0.000  -0.01
Rh1 0.626 0.626 0.123  0.17
Rh2 0.626 0.123 0.626  0.17
Rh3 0.626 0.626 0.626  0.17
Rh4 0.123 0.626 0.626  0.17

## Properties
Uncorrected energy in eV for the cell shown: -43.37
Formation enthalpy at 0 K in eV per atom: -0.350

***

| no. | D(E_F) (states/eV/atom) |
| --- | --- |
| 1 | 0.744 |
| 2 | 0.314 |
| 3 | 1.287 |
| 4 | 0.355 |
| 5 | 0.712 |
| 6 | 0.532 |
| 7 | 1.711 |
| 8 | 0.872 |
| 9 | 1.088 |
| 10 | 0.332 |
| 11 | 1.181 |
| 12 | 0.136 |
| 13 | 1.195 |
| 14 | 1.446 |
| 15 | 1.586 |
| 16 | 2.181 |